VASP calculation (GGA+U) on an optimized crystal structure of CrMoN2O.

Properties
SG: P4/mmm

Unit cell a=3.763 b=3.763 c=3.942 alpha=90.00 beta=90.00 gamma=90.00
Fractional positions:
Cr1 0.000 0.000 0.000
Mo1 0.500 0.500 0.500
N1 0.000 0.500 0.000
N2 0.500 0.000 0.000
O1 0.000 0.000 0.500

---

VASP calculation (GGA+U) on an optimized crystal structure of CrMoN2O.

Properties
SG: P4/mmm

Unit cell a=3.995 b=3.995 c=3.878 alpha=90.00 beta=90.00 gamma=90.00
Fractional positions:
Cr1 0.000 0.000 0.000
Mo1 0.500 0.500 0.500
N1 0.000 0.500 0.500
N2 0.500 0.000 0.500
O1 0.500 0.500 0.000

---

| no. | calculated volume (Å³ per cell) | raw total energy (eV/atom) | density (Mg/m³) |
| --- | --- | --- | --- |
| 1 | 55.8 | -6.861 | 5.7 |
| 2 | 61.9 | -7.089 | 5.2 |